(1)
A relaxed structure of Pm2RhAu3. Source: Alexandria, functional PBE.

a b c (Å): 5.063 5.695 6.215
angles (deg): 117.27 114.03 90.00
Positions (direct):
Pm 0.291 0.791 0.583
Pm 0.709 0.209 0.417
Rh 0.000 0.500 0.000
Au 0.365 0.365 0.730
Au 0.635 0.635 0.270
Au 0.000 0.000 0.000

DOS at the Fermi energy in states/eV/f.u.: 4.2
Polymorph energy (0 for the lowest one) in meV per atom: 185.6
Energy of formation from the pure elements in eV/atom: -0.47


(2)
A relaxed structure of Pm8Rh2Au. Source: Alexandria, functional PBE.

a b c (Å): 5.144 6.958 9.251
angles (deg): 100.28 106.14 90.00
Positions (direct):
Pm 0.801 0.663 0.602
Pm 0.040 0.767 0.080
Pm 0.670 0.965 0.341
Pm 0.411 0.555 0.821
Pm 0.330 0.035 0.659
Pm 0.589 0.445 0.179
Pm 0.960 0.233 0.920
Pm 0.199 0.337 0.398
Au 0.500 0.000 0.000
Rh 0.205 0.739 0.410
Rh 0.795 0.261 0.590

DOS at the Fermi energy in states/eV/f.u.: 11.4
Polymorph energy (0 for the lowest one) in meV per atom: 0.0
Energy of formation from the pure elements in eV/atom: -0.42


(3)
A relaxed structure of Pm3RhAu3. Source: Alexandria, functional PBE.

a b c (Å): 4.555 3.862 10.234
angles (deg): 100.88 102.86 90.00
Positions (direct):
Pm 0.991 0.991 0.981
Pm 0.322 0.822 0.645
Pm 0.688 0.188 0.375
Au 0.847 0.347 0.694
Au 0.565 0.565 0.130
Au 0.158 0.658 0.315
Rh 0.430 0.430 0.859

DOS at the Fermi energy in states/eV/f.u.: 4.8
Energy of formation from the pure elements in eV/atom: -0.75


(4)
A relaxed structure of Pm3Rh8Au. Source: Alexandria, functional PBE.

a b c (Å): 5.347 5.347 9.290
angles (deg): 73.28 73.28 60.00
Positions (direct):
Au 0.130 0.130 0.610
Rh 0.061 0.562 0.316
Rh 0.312 0.312 0.065
Rh 0.812 0.812 0.565
Rh 0.562 0.061 0.316
Rh 0.563 0.061 0.813
Rh 0.563 0.563 0.813
Rh 0.061 0.563 0.813
Rh 0.061 0.061 0.316
Pm 0.624 0.624 0.128
Pm 0.494 0.494 0.519
Pm 0.008 0.008 0.977

DOS at the Fermi energy in states/eV/f.u.: 10.2
Energy of formation from the pure elements in eV/atom: -0.51


(5)
A relaxed structure of Pm3RhAu. Source: Alexandria, functional PBE.

a b c (Å): 6.745 10.323 8.619
angles (deg): 115.71 90.00 90.00
Positions (direct):
Au 0.282 0.991 0.495
Au 0.782 0.509 0.505
Au 0.218 0.491 0.495
Au 0.718 0.009 0.505
Pm 0.963 0.326 0.144
Pm 0.537 0.826 0.144
Pm 0.037 0.674 0.856
Pm 0.498 0.789 0.661
Pm 0.016 0.023 0.227
Pm 0.002 0.289 0.661
Pm 0.463 0.174 0.856
Pm 0.502 0.211 0.339
Pm 0.998 0.711 0.339
Pm 0.516 0.477 0.773
Pm 0.984 0.977 0.773
Pm 0.484 0.523 0.227
Rh 0.797 0.552 0.032
Rh 0.203 0.448 0.968
Rh 0.703 0.052 0.032
Rh 0.297 0.948 0.968

DOS at the Fermi energy in states/eV/f.u.: 4.3
Polymorph energy (0 for the lowest one) in meV per atom: 51.2
Energy of formation from the pure elements in eV/atom: -0.59


(6)
A relaxed structure of Pm4RhAu2. Source: Alexandria, functional PBE.

a b c (Å): 5.400 5.400 8.272
angles (deg): 109.05 109.05 90.00
Positions (direct):
Au 0.609 0.609 0.219
Au 0.391 0.391 0.781
Rh 0.000 0.000 0.000
Pm 0.807 0.807 0.614
Pm 0.193 0.193 0.386
Pm 0.500 0.000 0.000
Pm 0.000 0.500 0.000

DOS at the Fermi energy in states/eV/f.u.: 9.0
Polymorph energy (0 for the lowest one) in meV per atom: 203.3
Energy of formation from the pure elements in eV/atom: -0.44